# MnAs2Se

An optimized crystal structure of MnAs2Se (PBEsol, Alexandria via LeMat-Bulk).

The value obtained for the calculated density is 6.83 Mg/m³. The uncorrected formation energy is 0.38 eV per atom.

Cell: 6.5113 6.5113 6.5113 Å, 90.00 90.00 90.00°
Space group F-43m (No. 216)
One atom of each set of equivalent atoms:
Mn: 0.0000 0.0000 0.0000
As: 0.0000 0.0000 0.5000
As: 0.2500 0.2500 0.2500
Se: 0.2500 0.2500 0.7500



# MnAsSe

An optimized crystal structure of MnAsSe (PBEsol, Alexandria via LeMat-Bulk).

The value obtained for the calculated density is 5.76 Mg/m³. The uncorrected formation energy is 0.55 eV per atom.

Cell: 6.2211 6.2211 6.2211 Å, 90.00 90.00 90.00°
Space group F-43m (No. 216)
One atom of each set of equivalent atoms:
Mn: 0.0000 0.0000 0.0000
As: 0.0000 0.0000 0.5000
Se: 0.2500 0.2500 0.7500



# MnAsSe4

An optimized crystal structure of MnAsSe4 (PBEsol, Alexandria via LeMat-Bulk).

The value obtained for the calculated density is 6.07 Mg/m³. The uncorrected formation energy is 0.77 eV per atom.

Cell: 7.8721 7.8721 7.8721 Å, 90.00 90.00 90.00°
Space group F-43m (No. 216)
One atom of each set of equivalent atoms:
Mn: 0.0000 0.0000 0.0000
As: 0.2500 0.2500 0.2500
Se: 0.1249 0.1249 0.6249



# MnAs2Se

An optimized crystal structure of MnAs2Se (PBEsol, Alexandria via LeMat-Bulk).

The value obtained for the calculated density is 6.77 Mg/m³. The uncorrected formation energy is 0.02 eV per atom.

Cell: 3.1166 3.1166 24.8161 Å, 90.00 90.00 120.00°
Space group R3m (No. 160, hexagonal axes)
One atom of each set of equivalent atoms:
Mn: 0.0000 0.0000 0.0000
As: 0.0000 0.0000 0.4845
As: 0.0000 0.0000 0.7355
Se: 0.0000 0.0000 0.2736